# TlTeNO2 | Alexandria via LeMat-Bulk | GGA-PBE | relaxed
data_TlTeNO2
_chemical_formula_sum 'Tl1 Te1 N1 O2'
_cell_length_a 4.102
_cell_length_b 4.102
_cell_length_c 4.215
_cell_angle_alpha 90.00
_cell_angle_beta 90.00
_cell_angle_gamma 90.00
_space_group_name_H-M_alt 'P 4/m m m'
_space_group_IT_number 123
_space_group_name_Hall '-P 4 2'
loop_
_atom_site_label
_atom_site_type_symbol
_atom_site_fract_x
_atom_site_fract_y
_atom_site_fract_z
_atom_site_occupancy
Tl1 Tl 0.000 0.000 0.000 1
Te1 Te 0.500 0.500 0.500 1
N1 N 0.500 0.500 0.000 1
O1 O 0.000 0.500 0.500 1
# ρ = 8.85 g cm⁻³
# energy relative to the elements, uncorrected = 0.008 eV/atom